Below is a relaxed structure of Fe2O3, with properties calculated at the PBE+U level.

Calculated values
Total moment (μB per cell): 20.00
VASP energy (eV/atom): -6.532

abc: 5.097 5.097 5.416
angles: 117.29 117.29 91.46
Last column: magnetic moment on the atom in μB.
Sites, in units of the cell vectors:
O 0.075 0.925 0.000  0.33
Fe 0.021 0.573 0.551  4.35
Fe 0.728 0.779 0.051  4.35
O 0.038 0.562 0.187  0.36
O 0.438 0.962 0.813  0.36
Fe 0.427 0.979 0.449  4.35
O 0.601 0.626 0.313  0.36
O 0.825 0.175 0.500  0.33
Fe 0.221 0.272 0.949  4.35
O 0.374 0.399 0.687  0.36